CoMoO4: optimized geometry, PBE with a Hubbard U.

Calculated values
E above lowest polymorph in meV per atom: 16.9
Fermi-level density of states in states/eV/f.u.: 0.00
Energy in eV per formula unit: -40.6

a = 9.766 Å, b = 8.983 Å, c = 7.816 Å
α = 90.00°, β = 114.05°, γ = 90.00°
Space group C2/m (No. 12)
Unique sites:
Co1 0.000 0.189 0.000 [4 per cell]
Co2 0.192 0.000 0.342 [4 per cell]
Mo1 0.000 0.214 0.500 [4 per cell]
Mo2 0.215 0.000 0.860 [4 per cell]
O1 0.003 0.150 0.738 [8 per cell]
O2 0.150 0.000 0.061 [4 per cell]
O3 0.151 0.000 0.586 [4 per cell]
O4 0.155 0.335 0.576 [8 per cell]
O5 0.163 0.346 0.080 [8 per cell]